A plane-wave DFT calculation with PBE was carried out for ZrTi4Ga6 after structural relaxation.

Results
Raw total energy ... -0.3851 Ry/atom
Energy of formation ... 60 meV/atom
Total magnetization ... 0.19 μB/atom

a b c (Å): 6.7616 6.7616 6.7616
angles (deg): 118.13 118.13 93.28
Positions (direct):
Zr1 0.0000 0.0000 0.0000
Ti1 0.2732 0.2732 0.6729
Ti2 0.3997 0.7268 0.0000
Ti3 0.6003 0.6003 0.3271
Ti4 0.7268 0.3997 0.0000
Ga1 0.0000 0.5000 0.5000
Ga2 0.1086 0.4386 0.0000
Ga3 0.4386 0.1086 0.0000
Ga4 0.5000 0.0000 0.5000
Ga5 0.5614 0.5614 0.6700
Ga6 0.8914 0.8914 0.3300